[1]
This record from the Alexandria database describes a relaxed Li2Ce3As4Rh2 crystal. The functional is PBE.

Values from the calculation:
The calculation puts the calculated total energy at -6.058 eV/atom. The calculation puts the total moment at 0.4 μB/f.u. The formation energy comes out at -1.064 eV per atom.

a b c (Å): 4.3066 4.3066 14.3582
angles (deg): 90.00 90.00 120.00
Space group P-3m1 (No. 164)
One atom of each set of equivalent atoms:
1 Li 0.3333 0.6667 0.0594
2 Ce 0.0000 0.0000 0.2365
3 Ce 0.0000 0.0000 0.5000
4 As 0.3333 0.6667 0.3751
5 As 0.3333 0.6667 0.8723
6 Rh 0.3333 0.6667 0.6494

---

[2]
This record from the Alexandria database describes a relaxed Pr2AlGaNi6 crystal. The functional is PBE.

Values from the calculation:
The calculation puts the calculated total energy at -5.418 eV/atom. The calculation puts the total moment at 0.0 μB/f.u. The formation energy comes out at -0.317 eV per atom.

a b c (Å): 6.157 6.159 6.161
angles (deg): 60.99 61.38 60.30
Space group P-1 (No. 2)
One atom of each set of equivalent atoms:
1 Pr 0.205 0.206 0.386
2 Al 0.500 0.500 0.500
3 Ga 0.000 0.000 0.000
4 Ni 0.168 0.326 0.882
5 Ni 0.322 0.620 0.889
6 Ni 0.384 0.833 0.109

---

[3]
This record from the Alexandria database describes a relaxed TeHF crystal. The functional is PBE.

Values from the calculation:
The calculation puts the calculated total energy at -3.678 eV/atom. The calculation puts the total moment at 0.0 μB/f.u. Its relative energy among the computed polymorphs is 134 meV per atom.

a b c (Å): 3.927 5.404 6.017
angles (deg): 90.88 108.84 90.50
Space group P1 (No. 1)
One atom of each set of equivalent atoms:
1 Te 0.000 0.000 0.000
2 Te 0.342 0.814 0.686
3 H 0.402 0.534 0.815
4 H 0.705 0.359 0.415
5 F 0.677 0.174 0.356
6 F 0.742 0.585 0.492